No. 1
Below is a crystal of ScCuP2S relaxed with PBEsol, with properties calculated at the meta-GGA SCAN level.

Geometry as POSCAR:
```
ScCuP2S
1.0
4.371 0.000 0.000
0.000 4.371 0.000
0.000 0.000 4.615
Sc Cu P S
1 1 2 1
Direct
0.000 0.000 0.000 Sc
0.500 0.500 0.500 Cu
0.000 0.500 0.500 P
0.500 0.000 0.500 P
0.500 0.500 0.000 S
```

Volume, A^3/atom: 17.64
Formation energy without anion corrections, eV per formula unit: 0.49
Mass density, g/cm3: 3.8
D(E_F), states/eV per atom: 0.5838

No. 2
Below is a crystal of CuTcPS2 relaxed with PBEsol, with properties calculated at the meta-GGA SCAN level.

Geometry as POSCAR:
```
CuTcPS2
1.0
4.515 0.000 0.000
0.000 4.515 0.000
0.000 0.000 4.607
Cu Tc P S
1 1 1 2
Direct
0.000 0.000 0.000 Cu
0.500 0.500 0.500 Tc
0.500 0.500 0.000 P
0.000 0.500 0.500 S
0.500 0.000 0.500 S
```

Volume, A^3/atom: 18.78
Formation energy without anion corrections, eV per formula unit: 3.54
Mass density, g/cm3: 4.5
D(E_F), states/eV per atom: 0.9658

No. 3
Below is a crystal of CuTePS2 relaxed with PBEsol, with properties calculated at the meta-GGA SCAN level.

Geometry as POSCAR:
```
CuTePS2
1.0
5.019 0.000 0.000
0.000 5.019 0.000
0.000 0.000 4.693
Cu Te P S
1 1 1 2
Direct
0.000 0.000 0.000 Cu
0.000 0.000 0.500 Te
0.500 0.500 0.000 P
0.000 0.500 0.500 S
0.500 0.000 0.500 S
```

Volume, A^3/atom: 23.64
Formation energy without anion corrections, eV per formula unit: 5.62
Mass density, g/cm3: 4.0
D(E_F), states/eV per atom: 0.5318

No. 4
Below is a crystal of YCuP2S relaxed with PBEsol, with properties calculated at the meta-GGA SCAN level.

Geometry as POSCAR:
```
YCuP2S
1.0
4.403 0.000 0.000
0.000 4.403 0.000
0.000 0.000 4.688
Y Cu P S
1 1 2 1
Direct
0.000 0.000 0.000 Y
0.500 0.500 0.500 Cu
0.000 0.500 0.500 P
0.500 0.000 0.500 P
0.500 0.500 0.000 S
```

Volume, A^3/atom: 18.17
Formation energy without anion corrections, eV per formula unit: -1.17
Mass density, g/cm3: 4.5
D(E_F), states/eV per atom: 0.5322

No. 5
Below is a crystal of ZrCuP2S relaxed with PBEsol, with properties calculated at the meta-GGA SCAN level.

Geometry as POSCAR:
```
ZrCuP2S
1.0
4.384 0.000 0.000
0.000 4.384 0.000
0.000 0.000 4.454
Zr Cu P S
1 1 2 1
Direct
0.000 0.000 0.000 Zr
0.500 0.500 0.500 Cu
0.000 0.500 0.500 P
0.500 0.000 0.500 P
0.500 0.500 0.000 S
```

Volume, A^3/atom: 17.12
Formation energy without anion corrections, eV per formula unit: 1.13
Mass density, g/cm3: 4.8
D(E_F), states/eV per atom: 0.5526

No. 6
Below is a crystal of Cu2SbP relaxed with PBEsol, with properties calculated at the meta-GGA SCAN level.

Geometry as POSCAR:
```
Cu2SbP
1.0
1.974 -2.290 0.000
1.974 2.290 0.000
0.000 0.000 7.036
Cu Sb P
2 1 1
Direct
0.000 0.000 0.193 Cu
0.000 0.000 0.807 Cu
0.500 0.500 0.500 Sb
0.500 0.500 0.000 P
```

Volume, A^3/atom: 15.90
Formation energy without anion corrections, eV per formula unit: 1.49
Energy above the lowest structure with this stoichiometry, meV per atom: 234
Mass density, g/cm3: 7.3
D(E_F), states/eV per atom: 0.4252

No. 7
Below is a crystal of Cu3SbP relaxed with PBEsol, with properties calculated at the meta-GGA SCAN level.

Geometry as POSCAR:
```
Cu3SbP
1.0
4.385 0.000 0.000
0.000 4.385 0.000
0.000 0.000 4.385
Cu Sb P
3 1 1
Direct
0.000 0.000 0.500 Cu
0.000 0.500 0.000 Cu
0.500 0.000 0.000 Cu
0.500 0.500 0.500 Sb
0.000 0.000 0.000 P
```

Volume, A^3/atom: 16.86
Formation energy without anion corrections, eV per formula unit: 1.82
Mass density, g/cm3: 6.8
D(E_F), states/eV per atom: 0.6142

No. 8
Below is a crystal of Cu2SbP relaxed with PBEsol, with properties calculated at the meta-GGA SCAN level.

Geometry as POSCAR:
```
Cu2SbP
1.0
3.452 -1.709 0.000
3.452 1.709 0.000
-1.610 0.000 5.388
Cu Sb P
2 1 1
Direct
0.237 0.237 0.180 Cu
0.763 0.763 0.820 Cu
0.000 0.000 0.500 Sb
0.500 0.500 0.000 P
```

Volume, A^3/atom: 15.90
Formation energy without anion corrections, eV per formula unit: 0.55
Energy above the lowest structure with this stoichiometry, meV per atom: 0
Mass density, g/cm3: 7.3
D(E_F), states/eV per atom: 0.3867

No. 9
Below is a crystal of CuSbP2 relaxed with PBEsol, with properties calculated at the meta-GGA SCAN level.

Geometry as POSCAR:
```
CuSbP2
1.0
1.840 1.062 5.804
-1.840 1.062 5.804
0.000 -2.124 5.804
Cu Sb P
1 1 2
Direct
0.000 0.000 0.000 Cu
0.500 0.500 0.500 Sb
0.265 0.265 0.265 P
0.735 0.735 0.735 P
```

Volume, A^3/atom: 17.01
Formation energy without anion corrections, eV per formula unit: 0.87
Mass density, g/cm3: 6.0
D(E_F), states/eV per atom: 0.3985

No. 10
Below is a crystal of CuSbTe2P relaxed with PBEsol, with properties calculated at the meta-GGA SCAN level.

Geometry as POSCAR:
```
CuSbTe2P
1.0
5.083 0.000 0.000
0.000 5.083 0.000
0.000 0.000 5.186
Cu Sb Te P
1 1 2 1
Direct
0.000 0.000 0.000 Cu
0.500 0.500 0.000 Sb
0.000 0.500 0.500 Te
0.500 0.000 0.500 Te
0.500 0.500 0.500 P
```

Volume, A^3/atom: 26.80
Formation energy without anion corrections, eV per formula unit: 4.61
Mass density, g/cm3: 5.8
D(E_F), states/eV per atom: 0.8452

No. 11
Below is a crystal of ScCuP relaxed with PBEsol, with properties calculated at the meta-GGA SCAN level.

Geometry as POSCAR:
```
ScCuP
1.0
3.801 0.000 0.000
-1.901 3.292 0.000
0.000 0.000 3.604
Sc Cu P
1 1 1
Direct
0.000 0.000 0.000 Sc
0.333 0.667 0.500 Cu
0.667 0.333 0.500 P
```

Volume, A^3/atom: 15.03
ΔE_f, eV/atom: -1.016
Mass density, g/cm3: 5.1
D(E_F), states/eV per atom: 0.4622

No. 12
Below is a crystal of ScCu2P relaxed with PBEsol, with properties calculated at the meta-GGA SCAN level.

Geometry as POSCAR:
```
ScCu2P
1.0
-1.981 2.294 3.113
1.981 -2.294 3.113
1.981 2.294 -3.113
Sc Cu P
1 2 1
Direct
0.000 0.000 0.000 Sc
0.283 0.783 0.500 Cu
0.543 0.543 0.000 Cu
0.725 0.225 0.500 P
```

Volume, A^3/atom: 14.15
ΔE_f, eV/atom: -0.347
Mass density, g/cm3: 6.0
D(E_F), states/eV per atom: 0.2445